Record 1
This record from the Alexandria database describes an optimized crystal structure of MnTlBi2. The functional is GGA-PBE.

a = 5.3902 Å, b = 5.3902 Å, c = 5.3902 Å
α = 60.00°, β = 60.00°, γ = 60.00°
Last column: nearest neighbours and their distance in Å.
Positions (direct):
Bi: 0.7500 0.7500 0.7500  4 Tl 3.30, 4 Mn 3.30
Bi: 0.2500 0.2500 0.2500  4 Tl 3.30, 4 Mn 3.30
Mn: 0.0000 0.0000 0.0000  8 Bi 3.30
Tl: 0.5000 0.5000 0.5000  8 Bi 3.30

Calculated values
total DFT energy (no corrections)	-4.43	eV/atom
magnetization	1.005	μB per atom
space group	No. 225
energy relative to the elements	38	kJ per mole of atoms
volume	27.7	A^3/atom

---

Record 2
This record from the Alexandria database describes an optimized crystal structure of MnTl2Bi. The functional is GGA-PBE.

a = 4.3835 Å, b = 4.3835 Å, c = 12.0789 Å
α = 79.55°, β = 79.55°, γ = 90.00°
Last column: nearest neighbours and their distance in Å.
Positions (direct):
Mn: 0.2500 0.7500 0.5000  4 Bi 3.10, 4 Tl 3.29
Mn: 0.5000 0.5000 0.0000  4 Bi 3.10, 4 Tl 3.29
Tl: 0.3750 0.3834 0.7500  4 Tl 3.05-3.15, 2 Mn 3.29, 2 Bi 3.32
Tl: 0.1334 0.6250 0.2500  4 Tl 3.05-3.15, 2 Mn 3.29, 2 Bi 3.32
Tl: 0.6166 0.1250 0.2500  4 Tl 3.05-3.15, 2 Mn 3.29, 2 Bi 3.32
Tl: 0.8750 0.8666 0.7500  4 Tl 3.05-3.15, 2 Mn 3.29, 2 Bi 3.32
Bi: 0.0000 0.0000 0.0000  4 Mn 3.10, 4 Tl 3.32
Bi: 0.7500 0.2500 0.5000  4 Mn 3.10, 4 Tl 3.32

Calculated values
total DFT energy (no corrections)	-4.08	eV/atom
magnetization	1.044	μB per atom
space group	No. 122
energy relative to the elements	35	kJ per mole of atoms
volume	28.0	A^3/atom

---

Record 3
This record from the Alexandria database describes an optimized crystal structure of MnTlBi2. The functional is GGA-PBE.

a = 3.5995 Å, b = 3.5995 Å, c = 10.2305 Å
α = 79.87°, β = 79.87°, γ = 60.00°
Last column: nearest neighbours and their distance in Å.
Positions (direct):
Tl: 0.5000 0.5000 0.5000  6 Tl 3.60, 6 Bi 3.70
Mn: 0.0000 0.0000 0.0000  6 Bi 2.85
Bi: 0.2685 0.2685 0.1944  3 Mn 2.85
Bi: 0.7315 0.7315 0.8056  3 Mn 2.85

Calculated values
total DFT energy (no corrections)	-4.64	eV/atom
magnetization	0.784	μB per atom
space group	No. 166
energy relative to the elements	18	kJ per mole of atoms
volume	28.1	A^3/atom

---

Record 4
This record from the Alexandria database describes an optimized crystal structure of Tm12MnBi6. The functional is GGA-PBE.

a = 8.5232 Å, b = 8.5232 Å, c = 8.5232 Å
α = 99.66°, β = 99.66°, γ = 99.66°
Last column: nearest neighbours and their distance in Å.
Positions (direct):
Tm: 0.9490 0.9972 0.6972  1 Mn 2.54
Tm: 0.5363 0.2065 0.4095  4 Bi 3.09-3.33
Tm: 0.4095 0.5363 0.2065  4 Bi 3.09-3.33
Tm: 0.0028 0.3028 0.0510  1 Mn 2.54
Tm: 0.9972 0.6972 0.9490  1 Mn 2.54
Tm: 0.0510 0.0028 0.3028  1 Mn 2.54
Tm: 0.6972 0.9490 0.9972  1 Mn 2.54
Tm: 0.3028 0.0510 0.0028  1 Mn 2.54
Tm: 0.7935 0.5905 0.4637  4 Bi 3.09-3.33
Tm: 0.2065 0.4095 0.5363  4 Bi 3.09-3.33
Tm: 0.5905 0.4637 0.7935  4 Bi 3.09-3.33
Tm: 0.4637 0.7935 0.5905  4 Bi 3.09-3.33
Bi: 0.6544 0.3248 0.1141  7 Tm 3.09-3.36
Bi: 0.6752 0.8859 0.3456  7 Tm 3.09-3.36
Bi: 0.3248 0.1141 0.6544  7 Tm 3.09-3.36
Bi: 0.1141 0.6544 0.3248  7 Tm 3.09-3.36
Bi: 0.3456 0.6752 0.8859  7 Tm 3.09-3.36
Bi: 0.8859 0.3456 0.6752  7 Tm 3.09-3.36
Mn: 0.0000 0.0000 0.0000  6 Tm 2.54

Calculated values
total DFT energy (no corrections)	-4.87	eV/atom
magnetization	0.000	μB per atom
space group	No. 148
energy relative to the elements	-32	kJ per mole of atoms
volume	31.0	A^3/atom

---

Record 5
This record from the Alexandria database describes an optimized crystal structure of Tm4MnBi. The functional is GGA-PBE.

a = 5.9191 Å, b = 8.6898 Å, c = 7.9722 Å
α = 115.17°, β = 101.28°, γ = 108.81°
Last column: nearest neighbours and their distance in Å.
Positions (direct):
Tm: 0.6168 0.0573 0.3285  2 Mn 2.78
Tm: 0.9368 0.7977 0.1434  2 Mn 2.85-2.87
Tm: 0.7066 0.3457 0.1434  2 Mn 2.85-2.87
Tm: 0.2117 0.2711 0.3285  2 Mn 2.78
Tm: 0.7883 0.7289 0.6715  2 Mn 2.78
Tm: 0.0632 0.2023 0.8566  2 Mn 2.85-2.87
Tm: 0.2934 0.6543 0.8566  2 Mn 2.85-2.87
Tm: 0.3832 0.9427 0.6715  2 Mn 2.78
Bi: 0.6221 0.3721 0.7441  10 Tm 3.24-3.61
Bi: 0.3779 0.6279 0.2559  10 Tm 3.24-3.61
Mn: 0.7492 0.9992 0.9984  8 Tm 2.78-2.87, 2 Mn 2.96
Mn: 0.2508 0.0008 0.0016  8 Tm 2.78-2.87, 2 Mn 2.96

Calculated values
total DFT energy (no corrections)	-5.41	eV/atom
magnetization	0.107	μB per atom
space group	No. 15
energy relative to the elements	-25	kJ per mole of atoms
volume	27.0	A^3/atom

---

Record 6
This record from the Alexandria database describes an optimized crystal structure of MnV3Bi. The functional is GGA-PBE.

a = 4.4093 Å, b = 4.4093 Å, c = 4.4093 Å
α = 90.00°, β = 90.00°, γ = 90.00°
Last column: nearest neighbours and their distance in Å.
Positions (direct):
V: 0.0000 0.5000 0.0000  2 Mn 2.20
V: 0.0000 0.0000 0.5000  2 Mn 2.20
V: 0.5000 0.0000 0.0000  2 Mn 2.20
Bi: 0.5000 0.5000 0.5000  12 V 3.12
Mn: 0.0000 0.0000 0.0000  6 V 2.20

Calculated values
total DFT energy (no corrections)	-7.46	eV/atom
magnetization	0.002	μB per atom
space group	No. 221
energy relative to the elements	60	kJ per mole of atoms
volume	17.1	A^3/atom